1.
A geometry-optimized TaW3Cl structure. Source: Alexandria, functional PBE-GGA.

Unit cell a=4.878 b=4.878 c=4.878 alpha=90.00 beta=90.00 gamma=90.00
Fractional positions:
1 Ta 0.000 0.000 0.000
2 W 0.000 0.000 0.500
3 W 0.000 0.500 0.000
4 W 0.500 0.000 0.000
5 Cl 0.500 0.500 0.500

Values from the calculation:
SG = No. 221
distance to the lowest polymorph of the same formula = 1215 meV per atom
uncorrected energy = -7.882 eV per atom
total magnetic moment = 0.00 μB/cell
E_form (uncorrected) = 2630 meV/atom

2.
A geometry-optimized Li2FeCu structure. Source: Alexandria, functional PBE-GGA.

Unit cell a=2.469 b=4.077 c=5.105 alpha=90.00 beta=90.00 gamma=90.00
Fractional positions:
1 Li 0.000 0.000 0.246
2 Li 0.000 0.000 0.754
3 Fe 0.500 0.500 0.500
4 Cu 0.500 0.500 0.000

Values from the calculation:
SG = No. 47
uncorrected energy = -3.875 eV per atom
total magnetic moment = 2.47 μB/cell
ΔH_f (0 K) = 0.89 eV/f.u.

3.
A geometry-optimized SrTaBr2 structure. Source: Alexandria, functional PBE-GGA.

Unit cell a=3.488 b=3.488 c=9.360 alpha=90.00 beta=90.00 gamma=90.00
Fractional positions:
1 Sr 0.000 0.000 0.000
2 Ta 0.500 0.500 0.281
3 Br 0.000 0.000 0.427
4 Br 0.500 0.500 0.805

Values from the calculation:
SG = No. 99
distance to the lowest polymorph of the same formula = 0 meV per atom
uncorrected energy = -4.552 eV per atom
total magnetic moment = 1.01 μB/cell
E_form (uncorrected) = -332 meV/atom

4.
A geometry-optimized Li2CdAg structure. Source: Alexandria, functional PBE-GGA.

Unit cell a=10.219 b=10.219 c=10.219 alpha=157.42 beta=157.42 gamma=32.15
Fractional positions:
1 Li 0.116 0.625 0.991
2 Li 0.375 0.366 0.491
3 Li 0.634 0.125 0.009
4 Li 0.875 0.884 0.509
5 Cd 0.250 0.750 0.500
6 Cd 0.500 0.500 0.000
7 Ag 0.000 0.000 0.000
8 Ag 0.750 0.250 0.500

Values from the calculation:
SG = No. 122
uncorrected energy = -1.925 eV per atom
total magnetic moment = 0.00 μB/cell
ΔH_f (0 K) = -0.11 eV/f.u.

5.
A geometry-optimized Re3Tc2 structure. Source: Alexandria, functional PBE-GGA.

Unit cell a=4.211 b=4.211 c=5.372 alpha=90.00 beta=90.00 gamma=120.00
Fractional positions:
1 Re 0.000 0.000 0.000
2 Re 0.333 0.667 0.372
3 Re 0.667 0.333 0.628
4 Tc 0.333 0.667 0.841
5 Tc 0.667 0.333 0.159

Values from the calculation:
SG = No. 164
distance to the lowest polymorph of the same formula = 568 meV per atom
uncorrected energy = -11.047 eV per atom
total magnetic moment = 0.00 μB/cell
ΔH_f (0 K) = 2.84 eV/f.u.

6.
A geometry-optimized CaThPb2 structure. Source: Alexandria, functional PBE-GGA.

Unit cell a=5.573 b=5.573 c=5.573 alpha=60.00 beta=60.00 gamma=60.00
Fractional positions:
1 Ca 0.000 0.000 0.000
2 Th 0.500 0.500 0.500
3 Pb 0.250 0.250 0.250
4 Pb 0.750 0.750 0.750

Values from the calculation:
SG = No. 225
distance to the lowest polymorph of the same formula = 117 meV per atom
uncorrected energy = -4.491 eV per atom
total magnetic moment = 0.00 μB/cell
ΔH_f (0 K) = -1.13 eV/f.u.

7.
A geometry-optimized Ce5CrN8 structure. Source: Alexandria, functional PBE-GGA.

Unit cell a=6.756 b=6.756 c=6.756 alpha=107.98 beta=107.98 gamma=112.49
Fractional positions:
1 Ce 0.000 0.000 0.000
2 Ce 0.175 0.123 0.556
3 Ce 0.381 0.825 0.948
4 Ce 0.567 0.619 0.444
5 Ce 0.877 0.433 0.052
6 Cr 0.750 0.250 0.500
7 N 0.058 0.397 0.739
8 N 0.099 0.821 0.201
9 N 0.102 0.901 0.722
10 N 0.179 0.380 0.278
11 N 0.603 0.342 0.661
12 N 0.620 0.898 0.799
13 N 0.658 0.319 0.261
14 N 0.681 0.942 0.339

Values from the calculation:
SG = No. 82
uncorrected energy = -8.585 eV per atom
total magnetic moment = 2.32 μB/cell
E_form (uncorrected) = -1021 meV/atom

8.
A geometry-optimized Th2ScGa4Pt3 structure. Source: Alexandria, functional PBE-GGA.

Unit cell a=4.199 b=4.199 c=11.435 alpha=90.00 beta=90.00 gamma=90.00
Fractional positions:
1 Th 0.000 0.500 0.234
2 Th 0.500 0.000 0.766
3 Sc 0.000 0.000 0.500
4 Ga 0.000 0.000 0.000
5 Ga 0.000 0.500 0.650
6 Ga 0.500 0.000 0.350
7 Ga 0.500 0.500 0.000
8 Pt 0.000 0.500 0.867
9 Pt 0.500 0.000 0.133
10 Pt 0.500 0.500 0.500

Values from the calculation:
SG = No. 115
uncorrected energy = -6.042 eV per atom
total magnetic moment = 0.00 μB/cell
ΔH_f (0 K) = -9.02 eV/f.u.

9.
A geometry-optimized PmDyGa6 structure. Source: Alexandria, functional PBE-GGA.

Unit cell a=6.335 b=6.335 c=4.597 alpha=90.00 beta=90.00 gamma=120.00
Fractional positions:
1 Pm 0.000 0.000 0.000
2 Dy 0.333 0.667 0.500
3 Ga 0.378 0.189 0.500
4 Ga 0.520 0.040 0.000
5 Ga 0.520 0.480 0.000
6 Ga 0.811 0.189 0.500
7 Ga 0.811 0.622 0.500
8 Ga 0.960 0.480 0.000

Values from the calculation:
SG = No. 187
uncorrected energy = -3.991 eV per atom
total magnetic moment = 0.00 μB/cell
ΔH_f (0 K) = -4.41 eV/f.u.

10.
A geometry-optimized InBiIO6 structure. Source: Alexandria, functional PBE-GGA.

Unit cell a=5.537 b=5.537 c=9.955 alpha=90.00 beta=90.00 gamma=120.00
Fractional positions:
1 In 0.333 0.667 0.250
2 In 0.667 0.333 0.750
3 Bi 0.000 0.000 0.000
4 Bi 0.000 0.000 0.500
5 I 0.333 0.667 0.750
6 I 0.667 0.333 0.250
7 O 0.024 0.368 0.637
8 O 0.024 0.656 0.863
9 O 0.344 0.368 0.863
10 O 0.344 0.976 0.637
11 O 0.368 0.024 0.137
12 O 0.368 0.344 0.363
13 O 0.632 0.656 0.637
14 O 0.632 0.976 0.863
15 O 0.656 0.024 0.363
16 O 0.656 0.632 0.137
17 O 0.976 0.344 0.137
18 O 0.976 0.632 0.363

Values from the calculation:
SG = No. 163
uncorrected energy = -5.060 eV per atom
total magnetic moment = 0.00 μB/cell
E_form (uncorrected) = -847 meV/atom

11.
A geometry-optimized YOsAu2 structure. Source: Alexandria, functional PBE-GGA.

Unit cell a=3.010 b=4.508 c=5.818 alpha=90.00 beta=104.80 gamma=90.00
Fractional positions:
1 Y 0.000 0.000 0.000
2 Os 0.362 0.500 0.712
3 Au 0.613 0.500 0.233
4 Au 0.763 0.000 0.506

Values from the calculation:
SG = No. 6
distance to the lowest polymorph of the same formula = 231 meV per atom
uncorrected energy = -5.969 eV per atom
total magnetic moment = 0.47 μB/cell
ΔH_f (0 K) = 0.37 eV/f.u.

12.
A geometry-optimized Bi2SbPd2 structure. Source: Alexandria, functional PBE-GGA.

Unit cell a=7.510 b=7.510 c=4.123 alpha=90.00 beta=90.00 gamma=90.00
Fractional positions:
1 Bi 0.162 0.338 0.000
2 Bi 0.338 0.838 0.000
3 Bi 0.662 0.162 0.000
4 Bi 0.838 0.662 0.000
5 Sb 0.000 0.000 0.500
6 Sb 0.500 0.500 0.500
7 Pd 0.134 0.634 0.500
8 Pd 0.366 0.134 0.500
9 Pd 0.634 0.866 0.500
10 Pd 0.866 0.366 0.500

Values from the calculation:
SG = No. 127
distance to the lowest polymorph of the same formula = 67 meV per atom
uncorrected energy = -4.627 eV per atom
total magnetic moment = 0.00 μB/cell
E_form (uncorrected) = -173 meV/atom